Computed, not measured: a relaxed LaCeBeN2 crystal at the GGA-PBE level of DFT.

Lattice parameters (Å, degrees): 5.082 5.283 6.801 90.01 90.00 90.00
Element x y z (fractional)
La: 0.999 0.500 0.250
La: 0.001 0.500 0.750
N: 0.772 0.796 0.000
N: 0.772 0.204 0.500
N: 0.228 0.796 0.500
N: 0.228 0.204 0.000
Be: 0.000 0.000 0.500
Be: 0.000 0.000 0.000
Ce: 0.500 0.000 0.250
Ce: 0.500 0.000 0.750

Summary:
Space-group type ... No. 13
E_form (uncorrected) ... -0.856 eV per atom
Fermi-level density of states ... 11.25 states/eV per cell
Volume ... 18.3 Å³/atom